The following is a GGA+U calculation of a relaxed structure of CaMgCoHNF, from the Alexandria database.

a = 9.3072 Å, b = 3.7084 Å, c = 4.6516 Å
α = 90.00°, β = 90.69°, γ = 90.00°
Last column: nearest neighbours and their distance in Å.
Space group Cm (No. 8)
One atom of each set of equivalent atoms:
Ca1 0.0000 0.0000 0.0000 x2  2 F 2.35, 1 N 2.52, 1 H 2.60
Mg1 0.2808 0.0000 0.5919 x2  1 F 2.01, 2 N 2.11
Co1 0.0850 0.5000 0.5385 x2  1 N 1.93, 1 F 2.02
H1 0.2214 0.5000 0.0183 x2  1 N 1.05
N1 0.2475 0.5000 0.7989 x2  1 H 1.05
F1 0.4172 0.0000 0.2596 x2  1 Mg 2.01, 1 Co 2.02

Properties
E above lowest polymorph = 315 meV per atom
electronic total energy = -26.926 eV per formula unit
crystal system = monoclinic